Record 1
The following is a DFT calculation (GGA-PBE) of an optimized crystal structure of AcLa4Mg5.

Lattice parameters (Å, degrees): 3.998 3.998 19.935 90.00 90.00 90.00
Space group P4/mmm (No. 123)
Unique sites:
Ac1 0.000 0.000 0.000
La1 0.000 0.000 0.205
La2 0.000 0.000 0.402
Mg1 0.500 0.500 0.109
Mg2 0.500 0.500 0.303
Mg3 0.500 0.500 0.500

**Energy relative to the elements**: -0.1080 eV per atom
**DOS at the Fermi energy**: 1.1550 states/eV/atom

Record 2
The following is a DFT calculation (GGA-PBE) of an optimized crystal structure of Ce5Ir2Rh2.

Lattice parameters (Å, degrees): 17.065 6.929 7.260 90.00 90.00 90.00
Space group Ima2 (No. 46)
Unique sites:
Ce1 0.071 0.179 0.000
Ce2 0.151 0.680 0.136
Ce3 0.250 0.133 0.276
Ir1 0.000 0.000 0.695
Ir2 0.250 0.518 0.431
Rh1 0.079 0.544 0.826

**Energy relative to the elements**: -0.6303 eV per atom
**DOS at the Fermi energy**: 2.1244 states/eV/atom

Record 3
The following is a DFT calculation (GGA-PBE) of an optimized crystal structure of NdScTl2S4.

Lattice parameters (Å, degrees): 6.931 4.003 7.835 90.00 107.07 90.00
Space group P2/m (No. 10)
Unique sites:
Nd1 0.000 0.000 0.000
Sc1 0.500 0.500 0.000
Tl1 0.000 0.500 0.500
Tl2 0.500 0.000 0.500
S1 0.254 0.500 0.200
S2 0.288 0.000 0.808

**ΔE_f (raw)**: -1070 kJ/mol of formula units

Record 4
The following is a DFT calculation (GGA-PBE) of an optimized crystal structure of LaPr3SmDy.

Lattice parameters (Å, degrees): 8.199 5.226 10.415 90.00 108.51 90.00
Space group P2_1/m (No. 11)
Unique sites:
La1 0.169 0.250 0.291
Pr1 0.170 0.750 0.544
Pr2 0.171 0.250 0.793
Pr3 0.172 0.750 0.041
Sm1 0.500 0.250 0.627
Dy1 0.498 0.750 0.876

**Energy relative to the elements**: 0.0195 eV per atom
**DOS at the Fermi energy**: 1.6358 states/eV/atom